No. 1
# meta-GGA SCAN OsRu, PBEsol geometry
data_OsRu
_chemical_formula_sum 'Os1 Ru1'
_cell_length_a 2.707
_cell_length_b 2.707
_cell_length_c 4.288
_cell_angle_alpha 90.00
_cell_angle_beta 90.00
_cell_angle_gamma 120.00
_symmetry_space_group_name_H-M 'P 1'
_symmetry_Int_Tables_number 1
_symmetry_space_group_name_Hall 'P 1'
loop_
_atom_site_label
_atom_site_fract_x
_atom_site_fract_y
_atom_site_fract_z
_atom_site_occupancy
Ru1 0.667 0.333 0.500 1
Os1 0.000 0.000 0.000 1
# ΔH_f (0 K) = -0.018 eV per atom
# Space-group type = P-6m2 (187)



No. 2
# meta-GGA SCAN Sm5B4Rh15, PBEsol geometry
data_Sm5B4Rh15
_chemical_formula_sum 'Sm5 B4 Rh15'
_cell_length_a 4.168
_cell_length_b 4.168
_cell_length_c 20.413
_cell_angle_alpha 90.00
_cell_angle_beta 90.00
_cell_angle_gamma 90.00
_symmetry_space_group_name_H-M 'P 1'
_symmetry_Int_Tables_number 1
_symmetry_space_group_name_Hall 'P 1'
loop_
_atom_site_label
_atom_site_fract_x
_atom_site_fract_y
_atom_site_fract_z
_atom_site_occupancy
Sm1 0.000 0.000 0.904 1
Sm2 0.000 0.000 0.096 1
Sm3 0.000 0.000 0.298 1
Sm4 0.000 0.000 0.500 1
Sm5 0.000 0.000 0.702 1
B1 0.500 0.500 0.188 1
B2 0.500 0.500 0.397 1
B3 0.500 0.500 0.603 1
B4 0.500 0.500 0.812 1
Rh1 0.500 0.500 0.912 1
Rh2 0.500 0.500 0.088 1
Rh3 0.500 0.500 0.295 1
Rh4 0.500 0.500 0.500 1
Rh5 0.500 0.500 0.705 1
Rh6 0.500 0.000 0.000 1
Rh7 0.500 0.000 0.197 1
Rh8 0.500 0.000 0.399 1
Rh9 0.500 0.000 0.601 1
Rh10 0.500 0.000 0.803 1
Rh11 0.000 0.500 0.000 1
Rh12 0.000 0.500 0.197 1
Rh13 0.000 0.500 0.399 1
Rh14 0.000 0.500 0.601 1
Rh15 0.000 0.500 0.803 1
# ΔH_f (0 K) = -0.775 eV per atom
# Space-group type = P4/mmm (123)



No. 3
# meta-GGA SCAN AlGaCoBi2, PBEsol geometry
data_AlGaCoBi2
_chemical_formula_sum 'Al1 Ga1 Co1 Bi2'
_cell_length_a 4.476
_cell_length_b 5.084
_cell_length_c 5.084
_cell_angle_alpha 90.00
_cell_angle_beta 90.00
_cell_angle_gamma 90.00
_symmetry_space_group_name_H-M 'P 1'
_symmetry_Int_Tables_number 1
_symmetry_space_group_name_Hall 'P 1'
loop_
_atom_site_label
_atom_site_fract_x
_atom_site_fract_y
_atom_site_fract_z
_atom_site_occupancy
Co1 0.000 0.000 0.000 1
Bi1 0.000 0.000 0.500 1
Bi2 0.000 0.500 0.000 1
Ga1 0.500 0.500 0.500 1
Al1 0.500 0.000 0.000 1
# ΔH_f (0 K) = 0.390 eV per atom
# Space-group type = P4/mmm (123)



No. 4
# meta-GGA SCAN TlCdFe2, PBEsol geometry
data_TlCdFe2
_chemical_formula_sum 'Tl1 Cd1 Fe2'
_cell_length_a 3.085
_cell_length_b 3.085
_cell_length_c 7.015
_cell_angle_alpha 90.00
_cell_angle_beta 90.00
_cell_angle_gamma 90.00
_symmetry_space_group_name_H-M 'P 1'
_symmetry_Int_Tables_number 1
_symmetry_space_group_name_Hall 'P 1'
loop_
_atom_site_label
_atom_site_fract_x
_atom_site_fract_y
_atom_site_fract_z
_atom_site_occupancy
Cd1 0.500 0.500 0.799 1
Fe1 0.000 0.000 0.046 1
Fe2 0.500 0.500 0.195 1
Tl1 0.000 0.000 0.460 1
# ΔH_f (0 K) = 0.278 eV per atom
# Space-group type = P4mm (99)



No. 5
# meta-GGA SCAN BiRhS3, PBEsol geometry
data_BiRhS3
_chemical_formula_sum 'Bi1 Rh1 S3'
_cell_length_a 4.597
_cell_length_b 4.597
_cell_length_c 4.597
_cell_angle_alpha 90.00
_cell_angle_beta 90.00
_cell_angle_gamma 90.00
_symmetry_space_group_name_H-M 'P 1'
_symmetry_Int_Tables_number 1
_symmetry_space_group_name_Hall 'P 1'
loop_
_atom_site_label
_atom_site_fract_x
_atom_site_fract_y
_atom_site_fract_z
_atom_site_occupancy
S1 0.000 0.500 0.000 1
S2 0.000 0.000 0.500 1
S3 0.500 0.000 0.000 1
Rh1 0.000 0.000 0.000 1
Bi1 0.500 0.500 0.500 1
# Space-group type = Pm-3m (221)
# Final energy = -28.113 eV/atom



No. 6
# meta-GGA SCAN LiCuPO4, PBEsol geometry
data_LiCuPO4
_chemical_formula_sum 'Li6 Cu6 P6 O24'
_cell_length_a 7.308
_cell_length_b 7.308
_cell_length_c 9.622
_cell_angle_alpha 90.00
_cell_angle_beta 90.00
_cell_angle_gamma 120.00
_symmetry_space_group_name_H-M 'P 1'
_symmetry_Int_Tables_number 1
_symmetry_space_group_name_Hall 'P 1'
loop_
_atom_site_label
_atom_site_fract_x
_atom_site_fract_y
_atom_site_fract_z
_atom_site_occupancy
Li1 0.932 0.499 0.508 1
Li2 0.501 0.433 0.508 1
Li3 0.567 0.068 0.508 1
Li4 0.499 0.932 0.008 1
Li5 0.433 0.501 0.008 1
Li6 0.068 0.567 0.008 1
Cu1 0.771 0.720 0.726 1
Cu2 0.949 0.229 0.726 1
Cu3 0.720 0.771 0.226 1
Cu4 0.280 0.051 0.726 1
Cu5 0.229 0.949 0.226 1
Cu6 0.051 0.280 0.226 1
P1 0.667 0.333 0.829 1
P2 0.000 0.000 0.992 1
P3 0.000 0.000 0.492 1
P4 0.667 0.333 0.229 1
P5 0.333 0.667 0.329 1
P6 0.333 0.667 0.729 1
O1 0.903 0.770 0.544 1
O2 0.694 0.545 0.887 1
O3 0.589 0.480 0.169 1
O4 0.891 0.411 0.169 1
O5 0.851 0.306 0.887 1
O6 0.667 0.333 0.669 1
O7 0.000 0.000 0.824 1
O8 0.000 0.000 0.324 1
O9 0.667 0.333 0.388 1
O10 0.868 0.097 0.544 1
O11 0.770 0.903 0.044 1
O12 0.455 0.149 0.887 1
O13 0.520 0.109 0.169 1
O14 0.230 0.132 0.544 1
O15 0.545 0.694 0.387 1
O16 0.480 0.589 0.669 1
O17 0.411 0.891 0.669 1
O18 0.306 0.851 0.387 1
O19 0.333 0.667 0.169 1
O20 0.333 0.667 0.888 1
O21 0.097 0.868 0.044 1
O22 0.149 0.455 0.387 1
O23 0.109 0.520 0.669 1
O24 0.132 0.230 0.044 1
# Space-group type = P31c (159)
# ΔE to the lowest computed polymorph = 51 meV per atom



No. 7
# meta-GGA SCAN BaHgRh3, PBEsol geometry
data_BaHgRh3
_chemical_formula_sum 'Ba1 Hg1 Rh3'
_cell_length_a 4.967
_cell_length_b 4.967
_cell_length_c 4.967
_cell_angle_alpha 90.00
_cell_angle_beta 90.00
_cell_angle_gamma 90.00
_symmetry_space_group_name_H-M 'P 1'
_symmetry_Int_Tables_number 1
_symmetry_space_group_name_Hall 'P 1'
loop_
_atom_site_label
_atom_site_fract_x
_atom_site_fract_y
_atom_site_fract_z
_atom_site_occupancy
Rh1 0.000 0.500 0.000 1
Rh2 0.000 0.000 0.500 1
Rh3 0.500 0.000 0.000 1
Hg1 0.000 0.000 0.000 1
Ba1 0.500 0.500 0.500 1
# ΔH_f (0 K) = 0.832 eV per atom
# Space-group type = Pm-3m (221)



No. 8
# meta-GGA SCAN Sc5Zn, PBEsol geometry
data_Sc5Zn
_chemical_formula_sum 'Sc5 Zn1'
_cell_length_a 3.280
_cell_length_b 4.919
_cell_length_c 8.190
_cell_angle_alpha 90.00
_cell_angle_beta 101.55
_cell_angle_gamma 90.00
_symmetry_space_group_name_H-M 'P 1'
_symmetry_Int_Tables_number 1
_symmetry_space_group_name_Hall 'P 1'
loop_
_atom_site_label
_atom_site_fract_x
_atom_site_fract_y
_atom_site_fract_z
_atom_site_occupancy
Sc1 0.001 0.000 0.002 1
Sc2 0.333 0.000 0.665 1
Sc3 0.657 0.000 0.314 1
Sc4 0.454 0.500 0.908 1
Sc5 0.778 0.500 0.556 1
Zn1 0.111 0.500 0.222 1
# ΔH_f (0 K) = -0.040 eV per atom
# Space-group type = Amm2 (38)
# ΔE to the lowest computed polymorph = 68 meV per atom